VASP calculation (PBE) on ZnSb2Pd8 after structural relaxation.

Lattice parameters (Å, degrees): 7.2872 7.2872 7.2872 146.68 118.67 71.62
Last column: nearest neighbours and their distance in Å.
Element x y z (fractional)
Zn1 0.0000 0.0000 0.0000  8 Pd 2.67-2.75
Sb1 0.3131 0.3131 0.0000  10 Pd 2.67-2.92
Sb2 0.6869 0.6869 0.0000  10 Pd 2.67-2.92
Pd1 0.1094 0.8403 0.2691  3 Sb 2.70-2.72, 1 Zn 2.75, 7 Pd 2.82-3.00
Pd2 0.1405 0.6405 0.5000  2 Zn 2.67, 8 Pd 2.77-2.92, 2 Sb 2.92
Pd3 0.2987 0.5000 0.7987  2 Sb 2.67, 6 Pd 2.77-2.82
Pd4 0.4288 0.1597 0.2691  3 Sb 2.70-2.72, 1 Zn 2.75, 7 Pd 2.82-3.00
Pd5 0.5712 0.8403 0.7309  3 Sb 2.70-2.72, 1 Zn 2.75, 7 Pd 2.82-3.00
Pd6 0.7013 0.5000 0.2013  2 Sb 2.67, 6 Pd 2.77-2.82
Pd7 0.8595 0.3595 0.5000  2 Zn 2.67, 8 Pd 2.77-2.92, 2 Sb 2.92
Pd8 0.8906 0.1597 0.7309  3 Sb 2.70-2.72, 1 Zn 2.75, 7 Pd 2.82-3.00

The offset from the most stable computed form comes out at 0 meV/atom. The total energy comes out at -5.0555 eV/atom.

---

VASP calculation (PBE) on AgHgSbTe2 after structural relaxation.

Lattice parameters (Å, degrees): 5.5154 5.5154 5.4205 90.00 90.00 90.00
Last column: nearest neighbours and their distance in Å.
Element x y z (fractional)
Ag1 0.0000 0.0000 0.0000  2 Sb 2.71, 4 Te 2.76
Hg1 0.5000 0.5000 0.5000  8 Te 3.87, 4 Sb 3.90
Sb1 0.0000 0.0000 0.5000  2 Ag 2.71
Te1 0.0000 0.5000 0.0000  2 Ag 2.76
Te2 0.5000 0.0000 0.0000  2 Ag 2.76

The offset from the most stable computed form comes out at 0 meV/atom. The total energy comes out at -2.1603 eV/atom.

---

VASP calculation (PBE) on KCd10Au2 after structural relaxation.

Lattice parameters (Å, degrees): 10.0467 7.7997 7.6295 81.25 50.11 48.64
Last column: nearest neighbours and their distance in Å.
Element x y z (fractional)
K1 0.0000 0.0000 0.0000  16 Cd 3.52-3.90, 4 Au 3.81
Cd1 0.0000 0.5000 0.0000  10 Cd 2.98-3.15
Cd2 0.0088 0.6500 0.3500  7 Cd 3.02-3.33, 2 Au 3.05
Cd3 0.2813 0.5037 0.4963  2 Au 2.91, 5 Cd 2.98-3.12
Cd4 0.3500 0.9912 0.0088  7 Cd 3.02-3.33, 2 Au 3.05
Cd5 0.4963 0.7187 0.2813  2 Au 2.91, 5 Cd 2.98-3.12
Cd6 0.5000 0.0000 0.5000  10 Cd 2.98-3.15
Cd7 0.5037 0.2813 0.7187  2 Au 2.91, 5 Cd 2.98-3.12
Cd8 0.6500 0.0088 0.9912  7 Cd 3.02-3.33, 2 Au 3.05
Cd9 0.7187 0.4963 0.5037  2 Au 2.91, 5 Cd 2.98-3.12
Cd10 0.9912 0.3500 0.6500  7 Cd 3.02-3.33, 2 Au 3.05
Au1 0.0000 0.0000 0.5000  8 Cd 2.91-3.05, 2 Au 3.01
Au2 0.5000 0.5000 0.0000  8 Cd 2.91-3.05, 2 Au 3.01

The formation energy is -91.4 meV/atom. The total energy comes out at -1.3840 eV/atom.

---

VASP calculation (PBE) on ZnWSCl2 after structural relaxation.

Lattice parameters (Å, degrees): 4.8751 4.8751 4.6455 90.00 90.00 90.00
Last column: nearest neighbours and their distance in Å.
Element x y z (fractional)
Zn1 0.0000 0.0000 0.0000  8 Cl 3.37, 4 S 3.45
W1 0.5000 0.5000 0.5000  2 S 2.32, 4 Cl 2.44
S1 0.5000 0.5000 0.0000  2 W 2.32
Cl1 0.0000 0.5000 0.5000  2 W 2.44
Cl2 0.5000 0.0000 0.5000  2 W 2.44

The offset from the most stable computed form comes out at 0 meV/atom. The total energy comes out at -4.3949 eV/atom.

---

VASP calculation (PBE) on FeSiTe after structural relaxation.

Lattice parameters (Å, degrees): 3.3865 3.3865 5.3699 90.00 90.00 120.00
Last column: nearest neighbours and their distance in Å.
Element x y z (fractional)
Fe1 0.0000 0.0000 0.0000  3 Si 2.35, 3 Te 2.61
Si1 0.3333 0.6667 0.2425  3 Fe 2.35
Te1 0.6667 0.3333 0.6785  3 Fe 2.61

The offset from the most stable computed form comes out at 74 meV/atom. The total energy comes out at -5.4581 eV/atom.

---

VASP calculation (PBE) on LiAs2Cl after structural relaxation.

Lattice parameters (Å, degrees): 3.5984 7.0120 3.9517 90.00 91.69 90.00
Last column: nearest neighbours and their distance in Å.
Element x y z (fractional)
Li1 0.0000 0.0000 0.0000  4 Cl 2.63-2.71
As1 0.2380 0.5000 0.8043  2 As 2.34-2.40
As2 0.7620 0.5000 0.1957  2 As 2.34-2.40
Cl1 0.5000 0.0000 0.5000  4 Li 2.63-2.71

The offset from the most stable computed form comes out at 244 meV/atom. The total energy comes out at -3.8425 eV/atom.